DFT (PBE) results for Al4Co after structural relaxation.

Summary:
Electronic total energy ... -20.2 eV per cell
SG ... No. 139
M_tot ... 1.16 Bohr magnetons per cell
ΔE to the lowest computed polymorph ... 649 meV/atom
Energy of formation from the pure elements ... 1.9 eV/f.u.

Lattice parameters (Å, degrees): 7.149 7.149 7.149 151.35 151.35 40.96
Fractional positions:
Al 0.750 0.250 0.500
Al 0.406 0.406 0.000
Al 0.250 0.750 0.500
Al 0.594 0.594 0.000
Co 0.000 0.000 0.000



DFT (PBE) results for AlCo after structural relaxation.

Summary:
Electronic total energy ... -44.5 eV per cell
SG ... No. 194
M_tot ... 5.26 Bohr magnetons per cell
Energy of formation from the pure elements ... -0.3 eV/f.u.

Lattice parameters (Å, degrees): 4.038 4.038 7.615 90.00 90.00 120.00
Fractional positions:
Co 0.333 0.667 0.750
Co 0.000 0.000 0.750
Co 0.667 0.333 0.250
Co 0.000 0.000 0.250
Al 0.667 0.333 0.583
Al 0.667 0.333 0.917
Al 0.333 0.667 0.417
Al 0.333 0.667 0.083



DFT (PBE) results for Al5Co6 after structural relaxation.

Summary:
Electronic total energy ... -65.2 eV per cell
SG ... No. 71
M_tot ... 0.38 Bohr magnetons per cell
Energy of formation from the pure elements ... -3.9 eV/f.u.

Lattice parameters (Å, degrees): 3.990 5.600 6.895 113.96 106.82 90.00
Fractional positions:
Co 0.163 0.920 0.326
Co 0.837 0.594 0.674
Co 0.500 0.227 0.000
Co 0.500 0.773 0.000
Co 0.837 0.080 0.674
Co 0.163 0.406 0.326
Al 0.000 0.500 0.000
Al 0.328 0.828 0.656
Al 0.337 0.337 0.673
Al 0.672 0.172 0.344
Al 0.663 0.663 0.327



DFT (PBE) results for AlCo after structural relaxation.

Summary:
Electronic total energy ... -10.4 eV per cell
SG ... No. 225
M_tot ... 0.00 Bohr magnetons per cell
Energy of formation from the pure elements ... 0.4 eV/f.u.

Lattice parameters (Å, degrees): 3.384 3.384 3.384 60.00 60.00 60.00
Fractional positions:
Al 0.000 0.000 0.000
Co 0.500 0.500 0.500



DFT (PBE) results for AlCo after structural relaxation.

Summary:
Electronic total energy ... -23.1 eV per cell
SG ... No. 141
M_tot ... 1.37 Bohr magnetons per cell
Energy of formation from the pure elements ... -0.7 eV/f.u.

Lattice parameters (Å, degrees): 4.707 4.707 4.707 136.66 136.66 62.96
Fractional positions:
Al 0.250 0.750 0.500
Al 0.000 0.000 0.000
Co 0.500 0.500 0.000
Co 0.750 0.250 0.500



DFT (PBE) results for Al5Co4 after structural relaxation.

Summary:
Electronic total energy ... -49.3 eV per cell
SG ... No. 139
M_tot ... 0.00 Bohr magnetons per cell
ΔE to the lowest computed polymorph ... 140 meV/atom
Energy of formation from the pure elements ... -2.1 eV/f.u.

Lattice parameters (Å, degrees): 5.741 5.741 5.741 96.36 96.36 141.12
Fractional positions:
Al 0.326 0.326 0.653
Al 0.674 0.674 0.347
Al 0.000 0.000 0.000
Al 0.674 0.326 0.000
Al 0.326 0.674 0.000
Co 0.000 0.665 0.665
Co 0.000 0.335 0.335
Co 0.665 0.000 0.665
Co 0.335 0.000 0.335